Compound: Sr2MgIn6Hg
Source: Alexandria via LeMat-Bulk
Functional: PBE
Structure: optimized geometry

a = 7.4608 Å, b = 7.4608 Å, c = 13.5389 Å
α = 74.01°, β = 74.01°, γ = 60.00°
With the nearest neighbours (Å) after each atom.
Positions (direct):
Sr 0.8944 0.8944 0.3168  12 In 3.78-3.99, 1 Mg 4.07
Sr 0.1056 0.1056 0.6832  12 In 3.78-3.99, 1 Mg 4.07
Sr 0.7179 0.7179 0.8462  12 In 3.63-3.82
Sr 0.2821 0.2821 0.1538  12 In 3.63-3.82
Mg 0.0000 0.0000 0.0000  6 In 2.81
Mg 0.5000 0.5000 0.5000  2 Hg 2.80, 6 In 2.87
In 0.9322 0.3327 0.4025  1 Mg 2.87, 2 In 2.99, 1 Hg 3.01
In 0.3327 0.9322 0.4025  1 Mg 2.87, 2 In 2.99, 1 Hg 3.01
In 0.3327 0.3327 0.4025  1 Mg 2.87, 2 In 2.99, 1 Hg 3.01
In 0.0678 0.6673 0.5975  1 Mg 2.87, 2 In 2.99, 1 Hg 3.01
In 0.6673 0.0678 0.5975  1 Mg 2.87, 2 In 2.99, 1 Hg 3.01
In 0.6673 0.6673 0.5975  1 Mg 2.87, 2 In 2.99, 1 Hg 3.01
In 0.6425 0.2273 0.9029  1 Mg 2.81, 1 Hg 2.97, 2 In 3.10
In 0.2273 0.6425 0.9029  1 Mg 2.81, 1 Hg 2.97, 2 In 3.10
In 0.2273 0.2273 0.9029  1 Mg 2.81, 1 Hg 2.97, 2 In 3.10
In 0.3575 0.7727 0.0971  1 Mg 2.81, 1 Hg 2.97, 2 In 3.10
In 0.7727 0.3575 0.0971  1 Mg 2.81, 1 Hg 2.97, 2 In 3.10
In 0.7727 0.7727 0.0971  1 Mg 2.81, 1 Hg 2.97, 2 In 3.10
Hg 0.5726 0.5726 0.2821  1 Mg 2.80, 6 In 2.97-3.01
Hg 0.4274 0.4274 0.7179  1 Mg 2.80, 6 In 2.97-3.01

- ΔH_f (0 K): -0.1354 eV per atom
- Space-group type: R-3m, No. 166

Compound: Tb6Pr16Ho7
Source: Alexandria via LeMat-Bulk
Functional: PBE
Structure: optimized geometry

a = 11.3778 Å, b = 11.3778 Å, c = 11.3778 Å
α = 60.00°, β = 60.00°, γ = 60.00°
With the nearest neighbours (Å) after each atom.
Positions (direct):
Tb 0.2646 0.7354 0.2646  8 Pr 3.63-3.66, 4 Ho 4.03
Tb 0.7354 0.2646 0.7354  8 Pr 3.63-3.66, 4 Ho 4.03
Tb 0.7354 0.2646 0.2646  8 Pr 3.63-3.66, 4 Ho 4.03
Tb 0.2646 0.7354 0.7354  8 Pr 3.63-3.66, 4 Ho 4.03
Tb 0.7354 0.7354 0.2646  8 Pr 3.63-3.66, 4 Ho 4.03
Tb 0.2646 0.2646 0.7354  8 Pr 3.63-3.66, 4 Ho 4.03
Pr 0.8747 0.8747 0.3758  4 Ho 3.48-3.49, 3 Tb 3.63, 3 Pr 3.67
Pr 0.8747 0.8747 0.8747  4 Ho 3.48-3.49, 3 Tb 3.63, 3 Pr 3.67
Pr 0.8747 0.3758 0.8747  4 Ho 3.48-3.49, 3 Tb 3.63, 3 Pr 3.67
Pr 0.3758 0.8747 0.8747  4 Ho 3.48-3.49, 3 Tb 3.63, 3 Pr 3.67
Pr 0.1253 0.1253 0.1253  4 Ho 3.48-3.49, 3 Tb 3.63, 3 Pr 3.67
Pr 0.1253 0.1253 0.6242  4 Ho 3.48-3.49, 3 Tb 3.63, 3 Pr 3.67
Pr 0.1253 0.6242 0.1253  4 Ho 3.48-3.49, 3 Tb 3.63, 3 Pr 3.67
Pr 0.6242 0.1253 0.1253  4 Ho 3.48-3.49, 3 Tb 3.63, 3 Pr 3.67
Pr 0.6489 0.6489 0.0532  3 Ho 3.32, 3 Tb 3.66, 3 Pr 3.67
Pr 0.6489 0.6489 0.6489  3 Ho 3.32, 3 Tb 3.66, 3 Pr 3.67
Pr 0.6489 0.0532 0.6489  3 Ho 3.32, 3 Tb 3.66, 3 Pr 3.67
Pr 0.0532 0.6489 0.6489  3 Ho 3.32, 3 Tb 3.66, 3 Pr 3.67
Pr 0.3511 0.3511 0.3511  3 Ho 3.32, 3 Tb 3.66, 3 Pr 3.67
Pr 0.3511 0.3511 0.9468  3 Ho 3.32, 3 Tb 3.66, 3 Pr 3.67
Pr 0.3511 0.9468 0.3511  3 Ho 3.32, 3 Tb 3.66, 3 Pr 3.67
Pr 0.9468 0.3511 0.3511  3 Ho 3.32, 3 Tb 3.66, 3 Pr 3.67
Ho 0.0000 0.0000 0.0000  8 Pr 3.49
Ho 0.5000 0.0000 0.5000  8 Pr 3.32-3.48
Ho 0.0000 0.5000 0.0000  8 Pr 3.32-3.48
Ho 0.0000 0.5000 0.5000  8 Pr 3.32-3.48
Ho 0.5000 0.0000 0.0000  8 Pr 3.32-3.48
Ho 0.0000 0.0000 0.5000  8 Pr 3.32-3.48
Ho 0.5000 0.5000 0.0000  8 Pr 3.32-3.48

- ΔH_f (0 K): 0.2012 eV per atom
- Space-group type: Fm-3m, No. 225

Compound: KNa3Mn
Source: Alexandria via LeMat-Bulk
Functional: PBE
Structure: optimized geometry

a = 6.0388 Å, b = 6.0388 Å, c = 6.0388 Å
α = 90.00°, β = 90.00°, γ = 90.00°
With the nearest neighbours (Å) after each atom.
Positions (direct):
Na 0.0000 0.5000 0.0000  2 Mn 3.02
Na 0.0000 0.0000 0.5000  2 Mn 3.02
Na 0.5000 0.0000 0.0000  2 Mn 3.02
K 0.5000 0.5000 0.5000  12 Na 4.27
Mn 0.0000 0.0000 0.0000  6 Na 3.02

- ΔH_f (0 K): 0.5439 eV per atom
- Space-group type: Pm-3m, No. 221
- Excess energy over the best structure of this formula in the dataset: 0.0 kJ per mole of atoms

Compound: Si2PtW
Source: Alexandria via LeMat-Bulk
Functional: PBE
Structure: optimized geometry

a = 3.1663 Å, b = 4.2210 Å, c = 4.2210 Å
α = 90.00°, β = 90.00°, γ = 90.00°
With the nearest neighbours (Å) after each atom.
Positions (direct):
Pt 0.5000 0.0000 0.5000  8 Si 2.64
Si 0.0000 0.0000 0.0000  4 W 2.64, 4 Pt 2.64
Si 0.0000 0.5000 0.5000  4 W 2.64, 4 Pt 2.64
W 0.5000 0.5000 0.0000  8 Si 2.64

- Space-group type: P4/mmm, No. 123
- Energy relative to the elements, uncorrected: -237 meV per atom
- Excess energy over the best structure of this formula in the dataset: 3.3 kJ per mole of atoms

Compound: Pa2ZnIr
Source: Alexandria via LeMat-Bulk
Functional: PBE
Structure: optimized geometry

a = 4.2077 Å, b = 4.3667 Å, c = 4.3667 Å
α = 90.00°, β = 90.00°, γ = 90.00°
With the nearest neighbours (Å) after each atom.
Positions (direct):
Zn 0.5000 0.0000 0.0000  8 Pa 3.03, 4 Ir 3.09
Pa 0.0000 0.0000 0.5000  4 Ir 3.03, 4 Zn 3.03, 4 Pa 3.09
Pa 0.0000 0.5000 0.0000  4 Ir 3.03, 4 Zn 3.03, 4 Pa 3.09
Ir 0.5000 0.5000 0.5000  8 Pa 3.03, 4 Zn 3.09

- ΔH_f (0 K): -0.3644 eV per atom
- Space-group type: P4/mmm, No. 123
- Excess energy over the best structure of this formula in the dataset: 0.0 kJ per mole of atoms

Compound: HfNbFe2
Source: Alexandria via LeMat-Bulk
Functional: PBE
Structure: optimized geometry

a = 6.7041 Å, b = 6.7041 Å, c = 5.5117 Å
α = 52.54°, β = 52.54°, γ = 90.00°
With the nearest neighbours (Å) after each atom.
Positions (direct):
Nb 0.5000 0.5000 0.0000  4 Fe 2.40
Nb 0.2500 0.7500 0.5000  4 Fe 2.40
Hf 0.0000 0.0000 0.0000  4 Fe 2.55, 2 Nb 2.81
Hf 0.7500 0.2500 0.5000  4 Fe 2.55, 2 Nb 2.81
Fe 0.6087 0.1250 0.2500  2 Nb 2.40, 2 Hf 2.55
Fe 0.1413 0.6250 0.2500  2 Nb 2.40, 2 Hf 2.55
Fe 0.3750 0.3913 0.7500  2 Nb 2.40, 2 Hf 2.55
Fe 0.8750 0.8587 0.7500  2 Nb 2.40, 2 Hf 2.55

- ΔH_f (0 K): 0.4031 eV per atom
- Space-group type: I-42d, No. 122

Number 1: total DFT energy (no corrections) -2.3045 eV per atom. Number 2: total DFT energy (no corrections) -4.4987 eV per atom. Number 3: total DFT energy (no corrections) -2.3010 eV per atom. Number 4: total DFT energy (no corrections) -7.6975 eV per atom. Number 5: total DFT energy (no corrections) -7.6461 eV per atom. Number 6: total DFT energy (no corrections) -8.8340 eV per atom.